A plane-wave DFT calculation with PBE was carried out for a geometry-optimized VCuBr2 structure.

The density comes out at 5.83 Mg/m³. The calculation puts the uncorrected formation energy at 306.7 meV per atom. The energy relative to the lowest polymorph listed for this composition is 211 meV per atom. For the spin magnetization, the calculation gives 3.51 μB per formula unit.

The structure belongs to space group Fm-3m (No. 225); the cell edges are 6.786, 6.786 and 6.786 Å and the angles 90.00°, 90.00° and 90.00°. The inequivalent atoms are V at (0.000, 0.000, 0.000), Cu at (0.000, 0.000, 0.500) and Br at (0.250, 0.250, 0.250).

***

A plane-wave DFT calculation with PBE was carried out for a geometry-optimized VCuBr structure.

The density comes out at 5.93 Mg/m³. The calculation puts the uncorrected formation energy at 358.1 meV per atom. For the spin magnetization, the calculation gives 0.00 μB per formula unit.

The structure belongs to space group Amm2 (No. 38); the cell edges are 9.713, 3.591 and 6.238 Å and the angles 90.00°, 90.00° and 90.00°. The inequivalent atoms are V at (0.123, 0.000, 0.000), Cu at (0.000, 0.000, 0.333), Cu at (0.500, 0.000, 0.340) and Br at (0.316, 0.000, 0.665).

***

A plane-wave DFT calculation with PBE was carried out for a geometry-optimized Cu3WBr structure.

The density comes out at 6.76 Mg/m³. The calculation puts the uncorrected formation energy at 1554.6 meV per atom. The energy relative to the lowest polymorph listed for this composition is 0 meV per atom. For the spin magnetization, the calculation gives 0.00 μB per formula unit.

The structure belongs to space group Pm-3m (No. 221); the cell edges are 4.814, 4.814 and 4.814 Å and the angles 90.00°, 90.00° and 90.00°. The inequivalent atoms are Cu at (0.000, 0.000, 0.500), W at (0.000, 0.000, 0.000) and Br at (0.500, 0.500, 0.500).

***

A plane-wave DFT calculation with PBE was carried out for a geometry-optimized CuWBr structure.

The density comes out at 9.85 Mg/m³. The calculation puts the uncorrected formation energy at 1339.1 meV per atom. The energy relative to the lowest polymorph listed for this composition is 699 meV per atom. For the spin magnetization, the calculation gives 0.00 μB per formula unit.

The structure belongs to space group F-43m (No. 216); the cell edges are 6.043, 6.043 and 6.043 Å and the angles 90.00°, 90.00° and 90.00°. The inequivalent atoms are Cu at (0.000, 0.000, 0.000), W at (0.250, 0.250, 0.250) and Br at (0.000, 0.000, 0.500).

***

A plane-wave DFT calculation with PBE was carried out for a geometry-optimized CuW3Br7 structure.

The density comes out at 5.93 Mg/m³. The calculation puts the uncorrected formation energy at -435.6 meV per atom. For the spin magnetization, the calculation gives 0.02 μB per formula unit.

The structure belongs to space group Pn-3 (No. 201, origin choice 2); the cell edges are 13.801, 13.801 and 13.801 Å and the angles 90.00°, 90.00° and 90.00°. The inequivalent atoms are Cu at (0.060, 0.060, 0.060), W at (0.023, 0.631, 0.972), Br at (0.060, 0.685, 0.574), Br at (0.079, 0.182, 0.626) and Br at (0.136, 0.136, 0.364).

***

A plane-wave DFT calculation with PBE was carried out for a geometry-optimized CuWBr3 structure.

The density comes out at 5.67 Mg/m³. The calculation puts the uncorrected formation energy at 675.6 meV per atom. The energy relative to the lowest polymorph listed for this composition is 0 meV per atom. For the spin magnetization, the calculation gives 3.33 μB per formula unit.

The structure belongs to space group Pm-3m (No. 221); the cell edges are 5.226, 5.226 and 5.226 Å and the angles 90.00°, 90.00° and 90.00°. The inequivalent atoms are Cu at (0.000, 0.000, 0.000), W at (0.500, 0.500, 0.500) and Br at (0.000, 0.500, 0.500).

***

A plane-wave DFT calculation with PBE was carried out for a geometry-optimized CuWBr structure.

The density comes out at 9.93 Mg/m³. The calculation puts the uncorrected formation energy at 859.3 meV per atom. The energy relative to the lowest polymorph listed for this composition is 219 meV per atom. For the spin magnetization, the calculation gives 0.00 μB per formula unit.

The structure belongs to space group Fmm2 (No. 42); the cell edges are 3.219, 4.966 and 13.702 Å and the angles 90.00°, 90.00° and 90.00°. The inequivalent atoms are Cu at (0.000, 0.000, 0.000), W at (0.000, 0.000, 0.358) and Br at (0.000, 0.000, 0.702).

***

A plane-wave DFT calculation with PBE was carried out for a geometry-optimized CuW4Br structure.

The density comes out at 13.56 Mg/m³. The calculation puts the uncorrected formation energy at 1220.9 meV per atom. For the spin magnetization, the calculation gives 0.00 μB per formula unit.

The structure belongs to space group F-43m (No. 216); the cell edges are 7.551, 7.551 and 7.551 Å and the angles 90.00°, 90.00° and 90.00°. The inequivalent atoms are Cu at (0.000, 0.000, 0.000), W at (0.126, 0.126, 0.374) and Br at (0.250, 0.250, 0.750).

***

What total energy values result from the calculations? In sequence: -3.833; -4.604; -3.828; -4.902; -5.405; -3.738; -5.381; -8.376 eV/atom.
What N(E_F) values result from the calculations? In sequence: 15.19; 4.25; 2.57; 10.17; 0.00; 1.40; 4.67; 22.39 states/eV per cell.